Compound: Pa2CrCo3Ge4
Source: the Alexandria database
Functional: PBE-GGA
Structure: optimized geometry

Results
Calculated density, g/cm3: 10.1
DFT formation energy, eV per atom: -0.47

a b c (Å): 4.0346 4.0346 9.8875
angles (deg): 90.00 90.00 90.00
With the nearest neighbours (Å) after each atom.
Space group P-4m2 (No. 115)
Inequivalent atoms, fractional coordinates:
Pa (0.0000, 0.5000, 0.2461)  8 Ge 3.07-3.16, 6 Co 3.09-3.22, 2 Cr 3.22
Cr (0.0000, 0.0000, 0.5000)  4 Ge 2.44
Co (0.0000, 0.5000, 0.8735)  5 Ge 2.32-2.37
Co (0.5000, 0.5000, 0.5000)  4 Ge 2.44
Ge (0.0000, 0.0000, 0.0000)  4 Co 2.37
Ge (0.0000, 0.5000, 0.6391)  3 Co 2.32-2.44, 2 Cr 2.44
Ge (0.5000, 0.5000, 0.0000)  4 Co 2.37